(A)
A plane-wave DFT calculation with GGA-PBEsol was carried out for crystalline Cu3Mo2O9 at its relaxed geometry. Values from VASP.

```
&SYSTEM
  ibrav = 0, nat = 56, ntyp = 3
/
ATOMIC_SPECIES
Cu 63.55 Cu.upf
Mo 95.94 Mo.upf
O 16.00 O.upf
CELL_PARAMETERS angstrom
7.540 0.000 0.000
0.000 6.828 0.000
0.000 0.000 14.475
ATOMIC_POSITIONS crystal
Cu 0.000 0.000 0.000
Cu 0.000 0.500 0.000
Cu 0.172 0.250 0.148
Cu 0.207 0.750 0.436
Cu 0.293 0.250 0.936
Cu 0.328 0.750 0.648
Cu 0.500 0.000 0.500
Cu 0.500 0.500 0.500
Cu 0.672 0.250 0.352
Cu 0.707 0.750 0.064
Cu 0.793 0.250 0.564
Cu 0.828 0.750 0.852
Mo 0.170 0.250 0.392
Mo 0.231 0.250 0.675
Mo 0.269 0.750 0.175
Mo 0.330 0.750 0.892
Mo 0.670 0.250 0.108
Mo 0.731 0.250 0.825
Mo 0.769 0.750 0.325
Mo 0.830 0.750 0.608
O 0.027 0.250 0.614
O 0.057 0.750 0.595
O 0.087 0.250 0.022
O 0.146 0.534 0.144
O 0.146 0.966 0.144
O 0.188 0.250 0.792
O 0.227 0.250 0.275
O 0.236 0.534 0.945
O 0.236 0.966 0.945
O 0.264 0.034 0.445
O 0.264 0.466 0.445
O 0.273 0.750 0.775
O 0.312 0.750 0.292
O 0.354 0.034 0.644
O 0.354 0.466 0.644
O 0.413 0.750 0.522
O 0.443 0.250 0.095
O 0.473 0.750 0.114
O 0.527 0.250 0.886
O 0.557 0.750 0.905
O 0.587 0.250 0.478
O 0.646 0.534 0.356
O 0.646 0.966 0.356
O 0.688 0.250 0.708
O 0.727 0.250 0.225
O 0.736 0.534 0.555
O 0.736 0.966 0.555
O 0.764 0.034 0.055
O 0.764 0.466 0.055
O 0.773 0.750 0.725
O 0.812 0.750 0.208
O 0.854 0.034 0.856
O 0.854 0.466 0.856
O 0.913 0.750 0.978
O 0.943 0.250 0.405
O 0.973 0.750 0.386
```

## Properties
* density of states at the Fermi level: 17.3 states/eV per cell



(B)
A plane-wave DFT calculation with GGA-PBEsol was carried out for crystalline Cu3Mo2O9 at its relaxed geometry. Values from VASP.

```
&SYSTEM
  ibrav = 0, nat = 28, ntyp = 3
/
ATOMIC_SPECIES
Cu 63.55 Cu.upf
Mo 95.94 Mo.upf
O 16.00 O.upf
CELL_PARAMETERS angstrom
7.216 0.000 0.000
3.101 7.100 0.000
0.039 3.515 7.228
ATOMIC_POSITIONS crystal
Cu 0.062 0.160 0.472
Cu 0.134 0.783 0.911
Cu 0.292 0.906 0.272
Cu 0.708 0.094 0.728
Cu 0.866 0.217 0.089
Cu 0.938 0.840 0.528
Mo 0.200 0.287 0.812
Mo 0.439 0.327 0.293
Mo 0.561 0.673 0.707
Mo 0.800 0.713 0.188
O 0.024 0.021 0.333
O 0.086 0.292 0.618
O 0.120 0.544 0.781
O 0.136 0.130 0.028
O 0.254 0.592 0.164
O 0.309 0.166 0.364
O 0.390 0.761 0.844
O 0.421 0.696 0.514
O 0.466 0.177 0.825
O 0.534 0.823 0.175
O 0.579 0.304 0.486
O 0.610 0.239 0.156
O 0.691 0.834 0.636
O 0.746 0.408 0.836
O 0.864 0.870 0.972
O 0.880 0.456 0.219
O 0.914 0.708 0.382
O 0.976 0.979 0.667
```

## Properties
* density of states at the Fermi level: 1.6 states/eV per cell



We find (B) to be the most stable, with the next structure 0.012 eV/atom higher.



(A)
A plane-wave DFT calculation with GGA-PBEsol was carried out for crystalline CuReMo at its relaxed geometry. Values from VASP.

```
&SYSTEM
  ibrav = 0, nat = 3, ntyp = 3
/
ATOMIC_SPECIES
Cu 63.55 Cu.upf
Re 186.21 Re.upf
Mo 95.94 Mo.upf
CELL_PARAMETERS angstrom
2.691 0.000 0.000
-1.346 2.331 0.000
0.000 0.000 6.745
ATOMIC_POSITIONS crystal
Cu 0.000 0.000 0.000
Re 0.333 0.667 0.325
Mo 0.667 0.333 0.667
```

## Properties
* density of states at the Fermi level: 2.7 states/eV per cell



(B)
A plane-wave DFT calculation with GGA-PBEsol was carried out for crystalline CuReMo at its relaxed geometry. Values from VASP.

```
&SYSTEM
  ibrav = 0, nat = 12, ntyp = 3
/
ATOMIC_SPECIES
Cu 63.55 Cu.upf
Re 186.21 Re.upf
Mo 95.94 Mo.upf
CELL_PARAMETERS angstrom
5.694 0.000 0.000
0.000 5.694 0.000
0.000 0.000 5.694
ATOMIC_POSITIONS crystal
Cu 0.000 0.000 0.000
Cu 0.000 0.500 0.500
Cu 0.500 0.000 0.500
Cu 0.500 0.500 0.000
Re 0.250 0.250 0.250
Re 0.250 0.750 0.750
Re 0.750 0.250 0.750
Re 0.750 0.750 0.250
Mo 0.250 0.250 0.750
Mo 0.250 0.750 0.250
Mo 0.750 0.250 0.250
Mo 0.750 0.750 0.750
```

## Properties
* density of states at the Fermi level: 9.5 states/eV per cell



We find (A) to be the most stable, with the next structure 0.733 eV/atom higher.



(A)
A plane-wave DFT calculation with GGA-PBEsol was carried out for crystalline CuMoRh at its relaxed geometry. Values from VASP.

```
&SYSTEM
  ibrav = 0, nat = 6, ntyp = 3
/
ATOMIC_SPECIES
Cu 63.55 Cu.upf
Mo 95.94 Mo.upf
Rh 102.91 Rh.upf
CELL_PARAMETERS angstrom
2.709 0.000 0.000
0.000 3.751 0.000
0.000 0.000 7.885
ATOMIC_POSITIONS crystal
Cu 0.000 0.000 0.000
Cu 0.500 0.500 0.500
Mo 0.000 0.000 0.666
Mo 0.500 0.500 0.166
Rh 0.000 0.000 0.335
Rh 0.500 0.500 0.835
```

## Properties
* density of states at the Fermi level: 3.7 states/eV per cell



(B)
A plane-wave DFT calculation with GGA-PBEsol was carried out for crystalline CuMoRh at its relaxed geometry. Values from VASP.

```
&SYSTEM
  ibrav = 0, nat = 3, ntyp = 3
/
ATOMIC_SPECIES
Cu 63.55 Cu.upf
Mo 95.94 Mo.upf
Rh 102.91 Rh.upf
CELL_PARAMETERS angstrom
4.204 0.000 0.000
-2.102 3.641 0.000
0.000 0.000 2.627
ATOMIC_POSITIONS crystal
Cu 0.000 0.000 0.000
Mo 0.333 0.667 0.500
Rh 0.667 0.333 0.000
```

## Properties
* density of states at the Fermi level: 2.3 states/eV per cell



We find (A) to be the most stable, with the next structure 0.089 eV/atom higher.



(A)
A plane-wave DFT calculation with GGA-PBEsol was carried out for crystalline Sc2CuMo at its relaxed geometry. Values from VASP.

```
&SYSTEM
  ibrav = 0, nat = 16, ntyp = 3
/
ATOMIC_SPECIES
Sc 44.96 Sc.upf
Cu 63.55 Cu.upf
Mo 95.94 Mo.upf
CELL_PARAMETERS angstrom
6.463 0.000 0.000
0.000 6.463 0.000
0.000 0.000 6.463
ATOMIC_POSITIONS crystal
Sc 0.250 0.250 0.250
Sc 0.250 0.250 0.750
Sc 0.250 0.750 0.250
Sc 0.250 0.750 0.750
Sc 0.750 0.250 0.250
Sc 0.750 0.250 0.750
Sc 0.750 0.750 0.250
Sc 0.750 0.750 0.750
Cu 0.000 0.000 0.000
Cu 0.000 0.500 0.500
Cu 0.500 0.000 0.500
Cu 0.500 0.500 0.000
Mo 0.000 0.000 0.500
Mo 0.000 0.500 0.000
Mo 0.500 0.000 0.000
Mo 0.500 0.500 0.500
```

## Properties
* density of states at the Fermi level: 12.9 states/eV per cell



(B)
A plane-wave DFT calculation with GGA-PBEsol was carried out for crystalline Sc2CuMo at its relaxed geometry. Values from VASP.

```
&SYSTEM
  ibrav = 0, nat = 12, ntyp = 3
/
ATOMIC_SPECIES
Sc 44.96 Sc.upf
Cu 63.55 Cu.upf
Mo 95.94 Mo.upf
CELL_PARAMETERS angstrom
3.026 0.000 0.000
-1.513 2.620 0.000
0.000 0.000 26.526
ATOMIC_POSITIONS crystal
Sc 0.000 0.000 0.248
Sc 0.000 0.000 0.752
Sc 0.333 0.667 0.419
Sc 0.333 0.667 0.915
Sc 0.667 0.333 0.085
Sc 0.667 0.333 0.581
Cu 0.000 0.000 0.500
Cu 0.333 0.667 0.167
Cu 0.667 0.333 0.833
Mo 0.000 0.000 0.000
Mo 0.333 0.667 0.667
Mo 0.667 0.333 0.333
```

## Properties
* density of states at the Fermi level: 15.0 states/eV per cell



We find (A) to be the most stable, with the next structure 0.163 eV/atom higher.



(A)
A plane-wave DFT calculation with GGA-PBEsol was carried out for crystalline CuMoSe2 at its relaxed geometry. Values from VASP.

```
&SYSTEM
  ibrav = 0, nat = 4, ntyp = 3
/
ATOMIC_SPECIES
Cu 63.55 Cu.upf
Mo 95.94 Mo.upf
Se 78.96 Se.upf
CELL_PARAMETERS angstrom
3.130 0.000 0.000
0.000 3.130 0.000
0.000 0.000 6.259
ATOMIC_POSITIONS crystal
Cu 0.000 0.000 0.000
Mo 0.000 0.000 0.500
Se 0.500 0.500 0.260
Se 0.500 0.500 0.740
```

## Properties
* density of states at the Fermi level: 2.0 states/eV per cell



(B)
A plane-wave DFT calculation with GGA-PBEsol was carried out for crystalline CuMoSe2 at its relaxed geometry. Values from VASP.

```
&SYSTEM
  ibrav = 0, nat = 4, ntyp = 3
/
ATOMIC_SPECIES
Cu 63.55 Cu.upf
Mo 95.94 Mo.upf
Se 78.96 Se.upf
CELL_PARAMETERS angstrom
3.746 0.000 0.000
0.000 3.746 0.000
0.000 0.000 5.550
ATOMIC_POSITIONS crystal
Cu 0.000 0.000 0.000
Mo 0.500 0.500 0.000
Se 0.000 0.500 0.291
Se 0.500 0.000 0.709
```

## Properties
* density of states at the Fermi level: 1.9 states/eV per cell



We find (B) to be the most stable, with the next structure 0.027 eV/atom higher.



(A)
A plane-wave DFT calculation with GGA-PBEsol was carried out for crystalline Ta2CuMo at its relaxed geometry. Values from VASP.

```
&SYSTEM
  ibrav = 0, nat = 4, ntyp = 3
/
ATOMIC_SPECIES
Ta 180.95 Ta.upf
Cu 63.55 Cu.upf
Mo 95.94 Mo.upf
CELL_PARAMETERS angstrom
3.235 0.000 0.000
0.000 3.235 0.000
0.000 0.000 5.938
ATOMIC_POSITIONS crystal
Ta 0.000 0.000 0.248
Ta 0.000 0.000 0.752
Cu 0.500 0.500 0.000
Mo 0.500 0.500 0.500
```

## Properties
* density of states at the Fermi level: 3.5 states/eV per cell



(B)
A plane-wave DFT calculation with GGA-PBEsol was carried out for crystalline Ta2CuMo at its relaxed geometry. Values from VASP.

```
&SYSTEM
  ibrav = 0, nat = 4, ntyp = 3
/
ATOMIC_SPECIES
Ta 180.95 Ta.upf
Cu 63.55 Cu.upf
Mo 95.94 Mo.upf
CELL_PARAMETERS angstrom
3.261 0.000 0.000
0.000 3.261 0.000
0.000 0.000 5.835
ATOMIC_POSITIONS crystal
Ta 0.000 0.000 0.000
Ta 0.500 0.500 0.281
Cu 0.000 0.000 0.514
Mo 0.500 0.500 0.752
```

## Properties
* density of states at the Fermi level: 3.1 states/eV per cell



We find (A) to be the most stable, with the next structure 0.105 eV/atom higher.